No. 1
A relaxed structure of Ba4TlBi, computed with PBE-GGA.

Summary:
Total magnetization (μB/cell): 0.26
Calculated total energy (eV/atom): -2.82

CIF file:
```
data_Ba4TlBi
_cell_length_a 6.049
_cell_length_b 6.049
_cell_length_c 8.424
_cell_angle_alpha 90.00
_cell_angle_beta 90.00
_cell_angle_gamma 90.00
_symmetry_space_group_name_H-M 'P 4/m m m'
_symmetry_Int_Tables_number 123
_symmetry_space_group_name_Hall '-P 4 2'
loop_
_atom_site_label
_atom_site_fract_x
_atom_site_fract_y
_atom_site_fract_z
Ba1 0.000 0.500 0.243
Tl1 0.000 0.000 0.000
Bi1 0.500 0.500 0.500
```

No. 2
A relaxed structure of Nd2SmCo9, computed with PBE-GGA.

Summary:
Total magnetization (μB/cell): 30.88
Calculated total energy (eV/atom): -6.58

CIF file:
```
data_Nd2SmCo9
_cell_length_a 5.0345
_cell_length_b 5.0345
_cell_length_c 24.8575
_cell_angle_alpha 90.00
_cell_angle_beta 90.00
_cell_angle_gamma 120.00
_symmetry_space_group_name_H-M 'R -3 m'
_symmetry_Int_Tables_number 166
_symmetry_space_group_name_Hall '-R 3 2"'
loop_
_atom_site_label
_atom_site_fract_x
_atom_site_fract_y
_atom_site_fract_z
Nd1 0.0000 0.0000 0.1398
Sm1 0.0000 0.0000 0.0000
Co1 0.0000 0.0000 0.3334
Co2 0.0000 0.0000 0.5000
Co3 0.0023 0.5011 0.0792
```

Calculated ΔH_f (0 K) (eV/atom), listed in the same order as above: -0.496 -0.060
Calculated density (g/cm3), listed in the same order as above: 5.2 8.8